[1]
Compound: Pa2Ga9Hg
Source: Alexandria via LeMat-Bulk
Functional: PBE
Structure: optimized geometry

Summary:
For the calculated volume, the calculation gives 20.03 A^3/atom.

Lattice parameters (Å, degrees): 4.264 4.264 13.215 90.00 90.00 90.00
Atoms (fractional coordinates):
1 Pa 0.000 0.000 0.162
2 Pa 0.000 0.000 0.838
3 Ga 0.000 0.500 0.000
4 Ga 0.000 0.500 0.331
5 Ga 0.000 0.500 0.669
6 Ga 0.500 0.000 0.000
7 Ga 0.500 0.000 0.331
8 Ga 0.500 0.000 0.669
9 Ga 0.500 0.500 0.155
10 Ga 0.500 0.500 0.500
11 Ga 0.500 0.500 0.845
12 Hg 0.000 0.000 0.500

=====

[2]
Compound: La8GePt2
Source: Alexandria via LeMat-Bulk
Functional: PBE
Structure: optimized geometry

Summary:
For the calculated volume, the calculation gives 32.37 A^3/atom.

Lattice parameters (Å, degrees): 7.883 7.883 6.508 99.42 99.42 112.82
Atoms (fractional coordinates):
1 La 0.000 0.000 0.000
2 La 0.043 0.298 0.599
3 La 0.165 0.604 0.224
4 La 0.298 0.043 0.599
5 La 0.447 0.723 0.836
6 La 0.604 0.165 0.224
7 La 0.717 0.717 0.385
8 La 0.723 0.447 0.836
9 Ge 0.360 0.360 0.014
10 Pt 0.048 0.684 0.679
11 Pt 0.684 0.048 0.679

=====

[3]
Compound: CePm2YHo5
Source: Alexandria via LeMat-Bulk
Functional: PBE
Structure: optimized geometry

Summary:
For the calculated volume, the calculation gives 31.82 A^3/atom.

Lattice parameters (Å, degrees): 9.865 9.865 9.865 128.45 128.45 75.90
Atoms (fractional coordinates):
1 Ce 0.250 0.750 0.500
2 Ce 0.750 0.250 0.500
3 Pm 0.120 0.620 0.741
4 Pm 0.380 0.120 0.500
5 Pm 0.620 0.880 0.500
6 Pm 0.880 0.380 0.259
7 Y 0.250 0.250 0.000
8 Y 0.750 0.750 0.000
9 Ho 0.000 0.000 0.000
10 Ho 0.063 0.156 0.500
11 Ho 0.156 0.656 0.093
12 Ho 0.344 0.437 0.500
13 Ho 0.437 0.937 0.093
14 Ho 0.500 0.500 0.000
15 Ho 0.563 0.063 0.907
16 Ho 0.656 0.563 0.500
17 Ho 0.844 0.344 0.907
18 Ho 0.937 0.844 0.500

=====

[4]
Compound: MgCo3Mo
Source: Alexandria via LeMat-Bulk
Functional: PBE
Structure: optimized geometry

Summary:
For the calculated volume, the calculation gives 14.77 A^3/atom. The value obtained for the energy above the most stable polymorph in this dataset is 0.458 eV per atom.

Lattice parameters (Å, degrees): 4.196 4.196 4.196 90.00 90.00 90.00
Atoms (fractional coordinates):
1 Mg 0.000 0.000 0.000
2 Co 0.000 0.000 0.500
3 Co 0.000 0.500 0.000
4 Co 0.500 0.000 0.000
5 Mo 0.500 0.500 0.500

=====

Calculated total energy for every record listed, in sequence, given in eV per atom: -4.047, -5.612, -4.707, -5.182.